1.
9
Lattice="-4.284 0.209 -0.187 -2.241 -5.550 -4.163 -2.735 -6.623 5.972" Properties=species:S:1:pos:R:3 comment="Ac4TbRh4 | Alexandria via LeMat-Bulk | PBE-GGA | optimized geometry" sg="C2/m, No. 12" formation_enthalpy_0k_ev_per_atom=-0.6297 dft_energy_ev_per_atom=-6.24 pbc="T T T"
Rh -6.930 -9.390 0.418
Ac -2.521 -4.979 2.902
Ac -4.821 -8.532 2.342
Ac -4.439 -3.432 -0.719
Tb -2.142 0.105 -0.093
Ac -6.739 -6.985 -1.279
Rh -2.329 -2.573 1.205
Rh -6.987 -7.305 4.054
Rh -2.273 -4.659 -2.432

2.
12
Lattice="7.200 0.000 0.000 0.000 6.456 -1.959 0.000 1.762 7.841" Properties=species:S:1:pos:R:3 comment="AcTbRh | Alexandria via LeMat-Bulk | PBE-GGA | optimized geometry" sg="P2_1/c, No. 14" formation_enthalpy_0k_ev_per_atom=-0.5364 dft_energy_ev_per_atom=-5.90 relative_energy_mev_per_atom=18.3 pbc="T T T"
Ac 4.207 5.119 -0.588
Rh 1.883 4.405 4.050
Tb 3.022 2.357 2.500
Ac 2.993 3.099 6.470
Tb 4.178 5.861 3.382
Rh 5.483 7.922 4.774
Ac 6.593 2.772 4.312
Tb 0.578 6.466 5.441
Ac 0.607 5.446 1.570
Tb 6.622 1.752 0.441
Rh 1.717 0.296 1.109
Rh 5.317 3.813 1.833

3.
20
Lattice="-7.250 -4.085 4.582 7.922 -4.543 2.614 0.681 8.930 3.167" Properties=species:S:1:pos:R:3 comment="Ac12TbRh7 | Alexandria via LeMat-Bulk | PBE-GGA | optimized geometry" sg="R-3, No. 148" formation_enthalpy_0k_ev_per_atom=-0.5554 dft_energy_ev_per_atom=-5.83 pbc="T T T"
Ac 0.962 -2.183 3.371
Rh 2.620 -0.642 1.390
Ac -3.178 -3.132 3.969
Ac 2.138 1.687 3.105
Ac -0.532 4.888 3.390
Ac 4.531 3.434 6.394
Ac -1.779 0.791 3.642
Ac 0.391 2.485 6.993
Ac 1.886 -4.586 6.974
Rh 1.748 -2.185 8.671
Rh 0.677 0.151 5.182
Ac 5.043 -1.458 2.847
Ac -0.784 -1.385 7.259
Rh -0.394 2.487 1.693
Tb 0.000 0.000 0.000
Ac 3.132 -0.489 6.722
Rh -1.266 0.944 8.973
Rh -1.566 -1.698 1.968
Rh 2.919 2.000 8.396
Ac -3.690 1.760 7.517

4.
3
Lattice="-5.571 -1.887 -2.697 -1.604 -0.722 3.819 -0.423 3.788 -1.777" Properties=species:S:1:pos:R:3 comment="AcTbRh | Alexandria via LeMat-Bulk | PBE-GGA | optimized geometry" sg="P3m1, No. 156" formation_enthalpy_0k_ev_per_atom=-0.5054 dft_energy_ev_per_atom=-5.87 relative_energy_mev_per_atom=49.3 pbc="T T T"
Rh -0.089 -0.030 -0.043
Ac -5.423 -0.646 -0.085
Tb -2.086 1.854 -0.526

5.
15
Lattice="7.101 0.000 2.333 3.167 6.355 2.333 0.348 0.215 10.916" Properties=species:S:1:pos:R:3 comment="Ac8TbRh6 | Alexandria via LeMat-Bulk | PBE-GGA | optimized geometry" sg="R-3, No. 148" formation_enthalpy_0k_ev_per_atom=-0.5955 dft_energy_ev_per_atom=-6.04 pbc="T T T"
Ac 6.901 5.739 6.921
Rh 5.682 0.545 10.867
Ac 3.454 5.066 9.436
Rh 5.292 1.729 3.958
Ac 3.483 3.616 5.367
Tb 0.000 0.000 0.000
Ac 7.162 1.504 6.146
Ac 3.715 0.831 8.660
Ac 7.133 2.954 10.215
Rh 4.934 6.025 4.714
Rh 5.324 4.842 11.624
Ac 3.423 2.118 1.555
Ac 7.193 4.452 14.026
Rh 1.908 2.605 10.046
Rh 8.708 3.965 5.535

6.
6
Lattice="5.452 0.000 0.000 2.726 4.722 0.000 2.726 1.574 4.452" Properties=species:S:1:pos:R:3 comment="AcTbRh4 | Alexandria via LeMat-Bulk | PBE-GGA | optimized geometry" sg="F-43m, No. 216" formation_enthalpy_0k_ev_per_atom=-0.6212 dft_energy_ev_per_atom=-6.98 pbc="T T T"
Ac 0.000 0.000 0.000
Rh 5.452 1.582 2.779
Rh 5.452 3.148 0.565
Tb 2.726 1.574 1.113
Rh 4.096 3.931 2.779
Rh 6.808 3.931 2.779

7.
10
Lattice="6.052 0.000 2.583 2.158 6.521 3.327 0.323 -0.026 7.625" Properties=species:S:1:pos:R:3 comment="Ac2TbRh2 | Alexandria via LeMat-Bulk | PBE-GGA | optimized geometry" sg="Ibam, No. 72" formation_enthalpy_0k_ev_per_atom=-0.5989 dft_energy_ev_per_atom=-6.11 pbc="T T T"
Rh 4.387 5.527 6.485
Ac 5.820 4.589 11.510
Ac 3.290 6.360 9.056
Tb 2.754 3.247 6.121
Tb 5.780 3.247 7.413
Rh 4.146 0.967 7.049
Rh 2.048 4.278 3.584
Ac 2.713 1.905 2.025
Ac 5.243 0.135 4.479
Rh 6.486 2.216 9.950

8.
12
Lattice="6.011 0.000 0.000 3.005 8.389 0.000 3.005 0.000 8.389" Properties=species:S:1:pos:R:3 comment="AcTbRh | Alexandria via LeMat-Bulk | PBE-GGA | optimized geometry" sg="I4/mmm, No. 139" formation_enthalpy_0k_ev_per_atom=-0.3863 dft_energy_ev_per_atom=-5.75 relative_energy_mev_per_atom=168.4 pbc="T T T"
Ac 6.011 2.642 5.747
Tb 3.005 0.000 5.655
Tb 3.005 5.655 0.000
Rh 6.011 2.690 2.690
Rh 3.005 2.690 5.699
Ac 3.005 2.642 2.642
Rh 6.011 5.699 5.699
Ac 9.016 5.747 5.747
Ac 6.011 5.747 2.642
Tb 6.011 0.000 2.735
Tb 6.011 2.735 0.000
Rh 3.005 5.699 2.690